No. 1
# In2CoAgBi PBE-GGA relaxed
# E_tot = -15.80 eV/cell
# Crystal system = tetragonal
# Density = 7.453 g/cm³
# Formation enthalpy at 0 K = 0.70 eV per atom
# Total magnetic moment = 1.86 μB/cell
data_In2CoAgBi
_cell_length_a 5.237
_cell_length_b 5.237
_cell_length_c 4.918
_cell_angle_alpha 90.00
_cell_angle_beta 90.00
_cell_angle_gamma 90.00
_symmetry_space_group_name_H-M 'P 4/m m m'
_symmetry_Int_Tables_number 123
_symmetry_space_group_name_Hall '-P 4 2'
loop_
_atom_site_label
_atom_site_fract_x
_atom_site_fract_y
_atom_site_fract_z
In1 0.000 0.500 0.000
Co1 0.000 0.000 0.500
Ag1 0.000 0.000 0.000
Bi1 0.500 0.500 0.500

No. 2
# KCoAg2Bi PBE-GGA relaxed
# E_tot = -16.55 eV/cell
# Crystal system = tetragonal
# Density = 6.641 g/cm³
# Formation enthalpy at 0 K = 0.25 eV per atom
# Total magnetic moment = 0.72 μB/cell
data_KCoAg2Bi
_cell_length_a 5.203
_cell_length_b 5.203
_cell_length_c 4.829
_cell_angle_alpha 90.00
_cell_angle_beta 90.00
_cell_angle_gamma 90.00
_symmetry_space_group_name_H-M 'P 4/m m m'
_symmetry_Int_Tables_number 123
_symmetry_space_group_name_Hall '-P 4 2'
loop_
_atom_site_label
_atom_site_fract_x
_atom_site_fract_y
_atom_site_fract_z
K1 0.000 0.000 0.000
Co1 0.500 0.500 0.500
Ag1 0.000 0.500 0.500
Bi1 0.500 0.500 0.000

Look up the E_tot of the first one. -15.80 eV/cell

Among the records above, which one has the lowest total magnetic moment? KCoAg2Bi

What is the formula in the first record? In2CoAgBi